Record 1
First-principles (PBE) data for a relaxed structure of CaGe3Br8, as listed in Alexandria.

Output
Raw formation energy = -1075 kJ/mol of formula units
Calculated total energy = -80.758 eV per cell

a = 14.298 Å, b = 8.261 Å, c = 8.523 Å
α = 90.00°, β = 124.75°, γ = 90.00°
Space group C2/m (No. 12)
Asymmetric unit:
Ca1 0.000 0.000 0.000
Ge1 0.000 0.500 0.000
Ge2 0.250 0.250 0.000
Br1 0.008 0.255 0.773
Br2 0.244 0.500 0.226
Br3 0.247 0.000 0.227

Record 2
First-principles (PBE) data for a relaxed structure of Ca4GeBr5, as listed in Alexandria.

Output
Raw formation energy = -1580 kJ/mol of formula units
Calculated total energy = -74.725 eV per cell

a = 18.685 Å, b = 4.082 Å, c = 8.918 Å
α = 90.00°, β = 104.65°, γ = 90.00°
Space group C2/m (No. 12)
Asymmetric unit:
Ca1 0.004 0.000 0.249
Ca2 0.164 0.500 0.100
Ge1 0.000 0.500 0.000
Br1 0.000 0.500 0.500
Br2 0.168 0.000 0.331
Br3 0.170 0.000 0.858

Record 3
First-principles (PBE) data for a relaxed structure of Ca2GeBr, as listed in Alexandria.

Output
Raw formation energy = -387 kJ/mol of formula units
Calculated total energy = -42.915 eV per cell

a = 4.1365 Å, b = 4.1365 Å, c = 23.7717 Å
α = 90.00°, β = 90.00°, γ = 120.00°
Space group R3m (No. 160, hexagonal axes)
Asymmetric unit:
Ca1 0.0000 0.0000 0.0000
Ca2 0.0000 0.0000 0.1868
Ge1 0.0000 0.0000 0.5936
Br1 0.0000 0.0000 0.7648

Record 4
First-principles (PBE) data for a relaxed structure of CaGe3Br, as listed in Alexandria.

Output
Raw formation energy = 443 kJ/mol of formula units
Calculated total energy = -12.934 eV per cell

a = 5.621 Å, b = 5.621 Å, c = 5.621 Å
α = 90.00°, β = 90.00°, γ = 90.00°
Space group Pm-3m (No. 221)
Asymmetric unit:
Ca1 0.000 0.000 0.000
Ge1 0.000 0.000 0.500
Br1 0.500 0.500 0.500

Record 5
First-principles (PBE) data for a relaxed structure of CaGe3Br, as listed in Alexandria.

Output
Raw formation energy = 229 kJ/mol of formula units
Calculated total energy = -15.155 eV per cell

a = 5.227 Å, b = 5.227 Å, c = 5.227 Å
α = 90.00°, β = 90.00°, γ = 90.00°
Space group Pm-3m (No. 221)
Asymmetric unit:
Ca1 0.000 0.000 0.000
Ge1 0.000 0.500 0.500
Br1 0.500 0.500 0.500

Record 6
First-principles (PBE) data for a relaxed structure of Ca2GeBr, as listed in Alexandria.

Output
Raw formation energy = -300 kJ/mol of formula units
Calculated total energy = -53.619 eV per cell

a = 7.746 Å, b = 7.746 Å, c = 8.537 Å
α = 90.00°, β = 90.00°, γ = 90.00°
Space group I-42d (No. 122)
Asymmetric unit:
Ca1 0.244 0.250 0.125
Ge1 0.000 0.000 0.000
Br1 0.000 0.000 0.500

Record 7
First-principles (PBE) data for a relaxed structure of Ca2GeBr, as listed in Alexandria.

Output
Raw formation energy = -403 kJ/mol of formula units
Calculated total energy = -43.425 eV per cell

a = 4.1850 Å, b = 4.1850 Å, c = 22.9287 Å
α = 90.00°, β = 90.00°, γ = 120.00°
Space group R-3m (No. 166, hexagonal axes)
Asymmetric unit:
Ca1 0.0000 0.0000 0.2412
Ge1 0.0000 0.0000 0.5000
Br1 0.0000 0.0000 0.0000

Record 8
First-principles (PBE) data for a relaxed structure of CaGeBr, as listed in Alexandria.

Output
Raw formation energy = -355 kJ/mol of formula units
Calculated total energy = -47.899 eV per cell

a = 7.134 Å, b = 4.119 Å, c = 12.212 Å
α = 90.00°, β = 101.51°, γ = 90.00°
Space group C2/m (No. 12)
Asymmetric unit:
Ca1 0.071 0.000 0.207
Ge1 0.151 0.500 0.956
Br1 0.216 0.000 0.657

Record 9
First-principles (PBE) data for a relaxed structure of Ca3Ge5Br12, as listed in Alexandria.

Output
Raw formation energy = -1298 kJ/mol of formula units
Calculated total energy = -500.936 eV per cell

a = 17.682 Å, b = 17.682 Å, c = 17.682 Å
α = 90.00°, β = 90.00°, γ = 90.00°
Space group Ia-3d (No. 230)
Asymmetric unit:
Ca1 0.000 0.250 0.125
Ge1 0.000 0.000 0.000
Ge2 0.000 0.250 0.375
Br1 0.010 0.057 0.656

Record 10
First-principles (PBE) data for a relaxed structure of CaGe2Br6, as listed in Alexandria.

Output
Raw formation energy = -859 kJ/mol of formula units
Calculated total energy = -90.515 eV per cell

a = 7.3411 Å, b = 7.3411 Å, c = 21.6629 Å
α = 90.00°, β = 90.00°, γ = 120.00°
Space group R3 (No. 146, hexagonal axes)
Asymmetric unit:
Ca1 0.0000 0.0000 0.0000
Ge1 0.0000 0.0000 0.2360
Ge2 0.0000 0.0000 0.3629
Br1 0.0076 0.6490 0.2620
Br2 0.0649 0.3490 0.0848

Record 11
First-principles (PBE) data for a relaxed structure of Ca2GeBr6, as listed in Alexandria.

Output
Raw formation energy = -1345 kJ/mol of formula units
Calculated total energy = -32.600 eV per cell

a = 7.3183 Å, b = 7.3183 Å, c = 6.8973 Å
α = 90.00°, β = 90.00°, γ = 120.00°
Space group P-31m (No. 162)
Asymmetric unit:
Ca1 0.3333 0.6667 0.0000
Ge1 0.0000 0.0000 0.0000
Br1 0.0000 0.3261 0.2271

Record 12
First-principles (PBE) data for a relaxed structure of CaGe2Br, as listed in Alexandria.

Output
Raw formation energy = 55 kJ/mol of formula units
Calculated total energy = -49.363 eV per cell

a = 7.363 Å, b = 7.363 Å, c = 7.363 Å
α = 90.00°, β = 90.00°, γ = 90.00°
Space group Fm-3m (No. 225)
Asymmetric unit:
Ca1 0.000 0.000 0.000
Ge1 0.250 0.250 0.250
Br1 0.000 0.000 0.500